First-principles (PBE with a Hubbard U) data for Zn2GaCoO4 after structural relaxation, as listed in Alexandria via LeMat-Bulk.

Computed properties:
M_tot (μB/f.u.): 2.6
Space group: No. 42
DFT total energy (eV/atom): -5.11

```
Zn2GaCoO4
1.0
4.674 0.184 0.000
-0.204 4.673 0.000
-2.235 -2.428 4.588
O Zn Co Ga
4 2 1 1
Cartesian
1.088 3.483 1.104 O
-1.048 -1.139 3.471 O
1.048 1.139 3.471 O
3.381 1.374 1.104 O
-0.102 2.337 2.302 Zn
2.337 0.092 2.302 Zn
0.000 0.000 0.016 Co
0.000 0.000 4.586 Ga
```